#A
FeTeOF2 | PBE with a Hubbard U | optimized geometry

The magnetic moment is 4.6 μB per cell. The calculation puts the density of states at the Fermi level at 2.451 states/eV/f.u.

a = 4.740 Å, b = 4.740 Å, c = 4.109 Å
α = 90.00°, β = 90.00°, γ = 90.00°
Atoms (fractional coordinates):
Fe1 0.000 0.000 0.000
Te1 0.500 0.500 0.500
O1 0.500 0.500 0.000
F1 0.000 0.500 0.500
F2 0.500 0.000 0.500

***

#B
FeTeOF2 | PBE with a Hubbard U | optimized geometry

The magnetic moment is 4.8 μB per cell. The calculation puts the density of states at the Fermi level at 4.660 states/eV/f.u.

a = 3.880 Å, b = 3.880 Å, c = 4.740 Å
α = 90.00°, β = 90.00°, γ = 90.00°
Atoms (fractional coordinates):
Fe1 0.000 0.000 0.000
Te1 0.500 0.500 0.500
O1 0.000 0.000 0.500
F1 0.000 0.500 0.000
F2 0.500 0.000 0.000

***

#B (38.9 kJ/mol of atoms below the next structure)

***

#A
TiFeOF2 | PBE with a Hubbard U | optimized geometry

The magnetic moment is 3.1 μB per cell. The calculation puts the density of states at the Fermi level at 3.147 states/eV/f.u.

a = 4.054 Å, b = 4.054 Å, c = 3.836 Å
α = 90.00°, β = 90.00°, γ = 90.00°
Atoms (fractional coordinates):
Ti1 0.000 0.000 0.000
Fe1 0.500 0.500 0.500
O1 0.000 0.000 0.500
F1 0.000 0.500 0.000
F2 0.500 0.000 0.000

***

#B
TiFeOF2 | PBE with a Hubbard U | optimized geometry

The magnetic moment is 1.4 μB per cell. The calculation puts the density of states at the Fermi level at 9.541 states/eV/f.u.

a = 3.793 Å, b = 3.793 Å, c = 4.052 Å
α = 90.00°, β = 90.00°, γ = 90.00°
Atoms (fractional coordinates):
Ti1 0.000 0.000 0.000
Fe1 0.500 0.500 0.500
O1 0.500 0.500 0.000
F1 0.000 0.500 0.500
F2 0.500 0.000 0.500

***

#A (101.3 kJ/mol of atoms below the next structure)

***

#A
TlFeOF2 | PBE with a Hubbard U | optimized geometry

The magnetic moment is 4.7 μB per cell. The calculation puts the density of states at the Fermi level at 1.352 states/eV/f.u.

a = 4.573 Å, b = 4.573 Å, c = 4.203 Å
α = 90.00°, β = 90.00°, γ = 90.00°
Atoms (fractional coordinates):
Tl1 0.000 0.000 0.000
Fe1 0.500 0.500 0.500
O1 0.000 0.000 0.500
F1 0.000 0.500 0.000
F2 0.500 0.000 0.000

***

#B
TlFeOF2 | PBE with a Hubbard U | optimized geometry

The magnetic moment is 5.0 μB per cell. The calculation puts the density of states at the Fermi level at 0.000 states/eV/f.u.

a = 4.317 Å, b = 4.317 Å, c = 3.827 Å
α = 90.00°, β = 90.00°, γ = 90.00°
Atoms (fractional coordinates):
Tl1 0.000 0.000 0.000
Fe1 0.500 0.500 0.500
O1 0.500 0.500 0.000
F1 0.000 0.500 0.500
F2 0.500 0.000 0.500

***

#B (94.1 kJ/mol of atoms below the next structure)

***

#A
VFeOF2 | PBE with a Hubbard U | optimized geometry

The magnetic moment is 1.2 μB per cell. The calculation puts the density of states at the Fermi level at 2.339 states/eV/f.u.

a = 4.074 Å, b = 4.074 Å, c = 3.857 Å
α = 90.00°, β = 90.00°, γ = 90.00°
Atoms (fractional coordinates):
V1 0.000 0.000 0.000
Fe1 0.500 0.500 0.500
O1 0.000 0.000 0.500
F1 0.000 0.500 0.000
F2 0.500 0.000 0.000

***

#B
VFeOF2 | PBE with a Hubbard U | optimized geometry

The magnetic moment is 3.0 μB per cell. The calculation puts the density of states at the Fermi level at 0.374 states/eV/f.u.

a = 3.969 Å, b = 3.969 Å, c = 4.114 Å
α = 90.00°, β = 90.00°, γ = 90.00°
Atoms (fractional coordinates):
V1 0.000 0.000 0.000
Fe1 0.500 0.500 0.500
O1 0.500 0.500 0.000
F1 0.000 0.500 0.500
F2 0.500 0.000 0.500

***

#A (29.4 kJ/mol of atoms below the next structure)

***

#A
FeWOF2 | PBE with a Hubbard U | optimized geometry

The magnetic moment is 4.0 μB per cell. The calculation puts the density of states at the Fermi level at 0.482 states/eV/f.u.

a = 3.814 Å, b = 3.814 Å, c = 4.226 Å
α = 90.00°, β = 90.00°, γ = 90.00°
Atoms (fractional coordinates):
Fe1 0.000 0.000 0.000
W1 0.500 0.500 0.500
O1 0.000 0.000 0.500
F1 0.000 0.500 0.000
F2 0.500 0.000 0.000

***

#B
FeWOF2 | PBE with a Hubbard U | optimized geometry

The magnetic moment is 0.2 μB per cell. The calculation puts the density of states at the Fermi level at 6.645 states/eV/f.u.

a = 4.228 Å, b = 4.228 Å, c = 4.204 Å
α = 90.00°, β = 90.00°, γ = 90.00°
Atoms (fractional coordinates):
Fe1 0.000 0.000 0.000
W1 0.500 0.500 0.500
O1 0.500 0.500 0.000
F1 0.000 0.500 0.500
F2 0.500 0.000 0.500

***

#B (43.4 kJ/mol of atoms below the next structure)

***

#A
ZrFeOF2 | PBE with a Hubbard U | optimized geometry

The magnetic moment is 3.7 μB per cell. The calculation puts the density of states at the Fermi level at 2.424 states/eV/f.u.

a = 4.360 Å, b = 4.360 Å, c = 4.066 Å
α = 90.00°, β = 90.00°, γ = 90.00°
Atoms (fractional coordinates):
Zr1 0.000 0.000 0.000
Fe1 0.500 0.500 0.500
O1 0.000 0.000 0.500
F1 0.000 0.500 0.000
F2 0.500 0.000 0.000

***

#B
ZrFeOF2 | PBE with a Hubbard U | optimized geometry

The magnetic moment is 0.8 μB per cell. The calculation puts the density of states at the Fermi level at 2.920 states/eV/f.u.

a = 3.943 Å, b = 3.943 Å, c = 4.036 Å
α = 90.00°, β = 90.00°, γ = 90.00°
Atoms (fractional coordinates):
Zr1 0.000 0.000 0.000
Fe1 0.500 0.500 0.500
O1 0.500 0.500 0.000
F1 0.000 0.500 0.500
F2 0.500 0.000 0.500

***

#A (71.9 kJ/mol of atoms below the next structure)

***

#A
FeOs2F | PBE with a Hubbard U | optimized geometry

The magnetic moment is 8.1 μB per cell. The calculation puts the density of states at the Fermi level at 5.247 states/eV/f.u.

a = 5.942 Å, b = 5.942 Å, c = 5.942 Å
α = 90.00°, β = 90.00°, γ = 90.00°
Atoms (fractional coordinates):
Fe1 0.000 0.000 0.000
Fe2 0.000 0.500 0.500
Fe3 0.500 0.000 0.500
Fe4 0.500 0.500 0.000
Os1 0.250 0.250 0.250
Os2 0.250 0.250 0.750
Os3 0.250 0.750 0.250
Os4 0.250 0.750 0.750
Os5 0.750 0.250 0.250
Os6 0.750 0.250 0.750
Os7 0.750 0.750 0.250
Os8 0.750 0.750 0.750
F1 0.000 0.000 0.500
F2 0.000 0.500 0.000
F3 0.500 0.000 0.000
F4 0.500 0.500 0.500

***

#B
FeOs2F | PBE with a Hubbard U | optimized geometry

The magnetic moment is 12.4 μB per cell. The calculation puts the density of states at the Fermi level at 2.598 states/eV/f.u.

a = 7.198 Å, b = 7.198 Å, c = 4.503 Å
α = 90.00°, β = 90.00°, γ = 90.00°
Atoms (fractional coordinates):
Fe1 0.000 0.000 0.000
Fe2 0.000 0.500 0.250
Fe3 0.500 0.000 0.750
Fe4 0.500 0.500 0.500
Os1 0.185 0.250 0.625
Os2 0.250 0.685 0.875
Os3 0.250 0.815 0.375
Os4 0.315 0.250 0.125
Os5 0.685 0.750 0.125
Os6 0.750 0.185 0.375
Os7 0.750 0.315 0.875
Os8 0.815 0.750 0.625
F1 0.000 0.000 0.500
F2 0.000 0.500 0.750
F3 0.500 0.000 0.250
F4 0.500 0.500 0.000

***

#A (4.7 kJ/mol of atoms below the next structure)

***

#A
Fe2OsF | PBE with a Hubbard U | optimized geometry

The magnetic moment is 36.0 μB per cell. The calculation puts the density of states at the Fermi level at 1.823 states/eV/f.u.

a = 6.116 Å, b = 6.116 Å, c = 6.116 Å
α = 90.00°, β = 90.00°, γ = 90.00°
Atoms (fractional coordinates):
Fe1 0.250 0.250 0.250
Fe2 0.250 0.250 0.750
Fe3 0.250 0.750 0.250
Fe4 0.250 0.750 0.750
Fe5 0.750 0.250 0.250
Fe6 0.750 0.250 0.750
Fe7 0.750 0.750 0.250
Fe8 0.750 0.750 0.750
Os1 0.000 0.000 0.000
Os2 0.000 0.500 0.500
Os3 0.500 0.000 0.500
Os4 0.500 0.500 0.000
F1 0.000 0.000 0.500
F2 0.000 0.500 0.000
F3 0.500 0.000 0.000
F4 0.500 0.500 0.500

***

#B
Fe2OsF | PBE with a Hubbard U | optimized geometry

The magnetic moment is 32.3 μB per cell. The calculation puts the density of states at the Fermi level at 3.900 states/eV/f.u.

a = 6.106 Å, b = 6.106 Å, c = 6.394 Å
α = 90.00°, β = 90.00°, γ = 90.00°
Atoms (fractional coordinates):
Fe1 0.192 0.250 0.125
Fe2 0.250 0.692 0.375
Fe3 0.250 0.808 0.875
Fe4 0.308 0.250 0.625
Fe5 0.692 0.750 0.625
Fe6 0.750 0.192 0.875
Fe7 0.750 0.308 0.375
Fe8 0.808 0.750 0.125
Os1 0.000 0.000 0.500
Os2 0.000 0.500 0.750
Os3 0.500 0.000 0.250
Os4 0.500 0.500 0.000
F1 0.000 0.000 0.000
F2 0.000 0.500 0.250
F3 0.500 0.000 0.750
F4 0.500 0.500 0.500

***

#B (41.3 kJ/mol of atoms below the next structure)

***

#A
FeOsF3 | PBE with a Hubbard U | optimized geometry

The magnetic moment is 3.5 μB per cell. The calculation puts the density of states at the Fermi level at 3.304 states/eV/f.u.

a = 4.185 Å, b = 4.185 Å, c = 4.185 Å
α = 90.00°, β = 90.00°, γ = 90.00°
Atoms (fractional coordinates):
Fe1 0.000 0.000 0.000
Os1 0.500 0.500 0.500
F1 0.000 0.500 0.500
F2 0.500 0.000 0.500
F3 0.500 0.500 0.000

***

#B
FeOsF3 | PBE with a Hubbard U | optimized geometry

The magnetic moment is 9.0 μB per cell. The calculation puts the density of states at the Fermi level at 6.884 states/eV/f.u.

a = 4.151 Å, b = 4.151 Å, c = 4.151 Å
α = 90.00°, β = 90.00°, γ = 90.00°
Atoms (fractional coordinates):
Fe1 0.000 0.000 0.000
Os1 0.500 0.500 0.500
F1 0.000 0.000 0.500
F2 0.000 0.500 0.000
F3 0.500 0.000 0.000

***

#B (6.5 kJ/mol of atoms below the next structure)

***

#A
FePS2F | PBE with a Hubbard U | optimized geometry

The magnetic moment is 4.4 μB per cell. The calculation puts the density of states at the Fermi level at 3.624 states/eV/f.u.

a = 4.463 Å, b = 4.463 Å, c = 4.615 Å
α = 90.00°, β = 90.00°, γ = 90.00°
Atoms (fractional coordinates):
Fe1 0.000 0.000 0.000
P1 0.000 0.000 0.500
S1 0.000 0.500 0.000
S2 0.500 0.000 0.000
F1 0.500 0.500 0.500

***

#B
FePS2F | PBE with a Hubbard U | optimized geometry

The magnetic moment is 4.0 μB per cell. The calculation puts the density of states at the Fermi level at 2.597 states/eV/f.u.

a = 4.956 Å, b = 4.956 Å, c = 3.634 Å
α = 90.00°, β = 90.00°, γ = 90.00°
Atoms (fractional coordinates):
Fe1 0.000 0.000 0.000
P1 0.500 0.500 0.000
S1 0.000 0.500 0.500
S2 0.500 0.000 0.500
F1 0.500 0.500 0.500

***

#A (6.2 kJ/mol of atoms below the next structure)

***

#A
Fe3PbF | PBE with a Hubbard U | optimized geometry

The magnetic moment is 11.0 μB per cell. The calculation puts the density of states at the Fermi level at 14.970 states/eV/f.u.

a = 5.265 Å, b = 5.265 Å, c = 5.265 Å
α = 90.00°, β = 90.00°, γ = 90.00°
Atoms (fractional coordinates):
Fe1 0.000 0.000 0.500
Fe2 0.000 0.500 0.000
Fe3 0.500 0.000 0.000
Pb1 0.000 0.000 0.000
F1 0.500 0.500 0.500

***

#B
Fe3PbF | PBE with a Hubbard U | optimized geometry

The magnetic moment is 9.9 μB per cell. The calculation puts the density of states at the Fermi level at 6.232 states/eV/f.u.

a = 4.350 Å, b = 4.350 Å, c = 4.350 Å
α = 90.00°, β = 90.00°, γ = 90.00°
Atoms (fractional coordinates):
Fe1 0.000 0.000 0.500
Fe2 0.000 0.500 0.000
Fe3 0.500 0.000 0.000
Pb1 0.500 0.500 0.500
F1 0.000 0.000 0.000

***

#B (43.3 kJ/mol of atoms below the next structure)

***

#A
FePbF3 | PBE with a Hubbard U | optimized geometry

The magnetic moment is 3.8 μB per cell. The calculation puts the density of states at the Fermi level at 7.025 states/eV/f.u.

a = 4.234 Å, b = 4.234 Å, c = 4.234 Å
α = 90.00°, β = 90.00°, γ = 90.00°
Atoms (fractional coordinates):
Fe1 0.000 0.000 0.000
Pb1 0.500 0.500 0.500
F1 0.000 0.000 0.500
F2 0.000 0.500 0.000
F3 0.500 0.000 0.000

***

#B
FePbF3 | PBE with a Hubbard U | optimized geometry

The magnetic moment is 7.5 μB per cell. The calculation puts the density of states at the Fermi level at 1.177 states/eV/f.u.

a = 5.930 Å, b = 5.930 Å, c = 9.633 Å
α = 98.92°, β = 98.92°, γ = 32.38°
Atoms (fractional coordinates):
Fe1 0.121 0.121 0.454
Fe2 0.879 0.879 0.546
Pb1 0.364 0.364 0.153
Pb2 0.636 0.636 0.847
F1 0.163 0.163 0.069
F2 0.307 0.307 0.410
F3 0.425 0.425 0.662
F4 0.575 0.575 0.338
F5 0.693 0.693 0.590
F6 0.837 0.837 0.931

***

#B (25.7 kJ/mol of atoms below the next structure)

***

#A
Fe2PbF | PBE with a Hubbard U | optimized geometry

The magnetic moment is 26.6 μB per cell. The calculation puts the density of states at the Fermi level at 3.255 states/eV/f.u.

a = 6.569 Å, b = 6.569 Å, c = 6.569 Å
α = 90.00°, β = 90.00°, γ = 90.00°
Atoms (fractional coordinates):
Fe1 0.250 0.250 0.250
Fe2 0.250 0.250 0.750
Fe3 0.250 0.750 0.250
Fe4 0.250 0.750 0.750
Fe5 0.750 0.250 0.250
Fe6 0.750 0.250 0.750
Fe7 0.750 0.750 0.250
Fe8 0.750 0.750 0.750
Pb1 0.000 0.000 0.000
Pb2 0.000 0.500 0.500
Pb3 0.500 0.000 0.500
Pb4 0.500 0.500 0.000
F1 0.000 0.000 0.500
F2 0.000 0.500 0.000
F3 0.500 0.000 0.000
F4 0.500 0.500 0.500

***

#B
Fe2PbF | PBE with a Hubbard U | optimized geometry

The magnetic moment is 28.0 μB per cell. The calculation puts the density of states at the Fermi level at 0.267 states/eV/f.u.

a = 6.742 Å, b = 6.742 Å, c = 6.734 Å
α = 90.00°, β = 90.00°, γ = 90.00°
Atoms (fractional coordinates):
Fe1 0.166 0.750 0.125
Fe2 0.250 0.166 0.875
Fe3 0.250 0.334 0.375
Fe4 0.334 0.750 0.625
Fe5 0.666 0.250 0.625
Fe6 0.750 0.666 0.375
Fe7 0.750 0.834 0.875
Fe8 0.834 0.250 0.125
Pb1 0.000 0.000 0.500
Pb2 0.000 0.500 0.750
Pb3 0.500 0.000 0.250
Pb4 0.500 0.500 0.000
F1 0.000 0.000 0.000
F2 0.000 0.500 0.250
F3 0.500 0.000 0.750
F4 0.500 0.500 0.500

***

#B (40.2 kJ/mol of atoms below the next structure)

***

#A
FePdF3 | PBE with a Hubbard U | optimized geometry

The magnetic moment is 5.0 μB per cell. The calculation puts the density of states at the Fermi level at 7.271 states/eV/f.u.

a = 4.043 Å, b = 4.043 Å, c = 4.043 Å
α = 90.00°, β = 90.00°, γ = 90.00°
Atoms (fractional coordinates):
Fe1 0.000 0.000 0.000
Pd1 0.500 0.500 0.500
F1 0.000 0.000 0.500
F2 0.000 0.500 0.000
F3 0.500 0.000 0.000

***

#B
FePdF3 | PBE with a Hubbard U | optimized geometry

The magnetic moment is 3.4 μB per cell. The calculation puts the density of states at the Fermi level at 9.367 states/eV/f.u.

a = 4.250 Å, b = 4.250 Å, c = 4.250 Å
α = 90.00°, β = 90.00°, γ = 90.00°
Atoms (fractional coordinates):
Fe1 0.000 0.000 0.000
Pd1 0.500 0.500 0.500
F1 0.000 0.500 0.500
F2 0.500 0.000 0.500
F3 0.500 0.500 0.000

***

#A (55.7 kJ/mol of atoms below the next structure)